Compound: CaInTe2
Source: Alexandria via LeMat-Bulk
Functional: GGA-PBE
Structure: relaxed

a = 4.4643 Å, b = 7.1753 Å, c = 7.1753 Å
α = 34.12°, β = 90.00°, γ = 90.00°
Closest atoms and distances in Å follow each position.
Fractional coordinates of all 4 atoms:
Ca  0.0000  0.0000  0.0000  6 Te 3.19-3.35
In  0.5000  0.7727  0.7727  5 Te 2.88-3.11
Te  0.0000  0.3105  0.3105  4 In 3.11, 2 Ca 3.35
Te  0.5000  0.5625  0.5625  1 In 2.88, 4 Ca 3.19

Results
magnetic moment	0.000	μB/atom
uncorrected formation energy	-0.895	eV per atom